## Cs2Rb4ZnCoO5 (PBE+U)

Data for crystalline Cs2Rb4ZnCoO5 at its relaxed geometry.

Calculated values
Total DFT energy (no corrections): -51.8 eV for the cell shown
Distance to the lowest polymorph of the same formula: 0 kJ/mol of formula units
V: 23.40 Å³/atom

Cell: 7.014 7.014 7.008 Å, 92.68 92.68 117.63°
Each line ends with the local moment (μB).
Fractional coordinates of all 13 atoms:
O 0.900 0.173 0.054  0.00
Zn 0.154 0.154 0.132  0.01
O 0.173 0.900 0.054  0.00
Cs 0.149 0.555 0.819  0.00
O 0.405 0.405 0.250  0.07
Rb 0.981 0.981 0.640  0.00
Co 0.569 0.569 0.486  2.52
Rb 0.709 0.709 0.020  0.00
O 0.520 0.789 0.577  0.15
Rb 0.115 0.585 0.313  0.00
Cs 0.555 0.149 0.819  0.00
Rb 0.585 0.115 0.313  0.00
O 0.789 0.520 0.577  0.16